This record from the Alexandria database describes a crystal of LaAl8Fe4 relaxed with PBEsol. The functional is meta-GGA SCAN.

Values from the calculation:
ΔE_f in eV per atom: -0.415

a b c (Å): 4.990 6.667 6.667
angles (deg): 81.95 68.02 68.02
Fractional positions:
Fe 0.000 0.000 0.500
Fe 0.500 0.000 0.500
Fe 0.500 0.500 0.000
Fe 0.000 0.500 0.000
Al 0.657 0.343 0.343
Al 0.343 0.657 0.657
Al 0.000 0.657 0.343
Al 0.000 0.343 0.657
Al 0.725 0.775 0.775
Al 0.275 0.225 0.225
Al 0.500 0.225 0.775
Al 0.500 0.775 0.225
La 0.000 0.000 0.000